Record 1
GGA-PBE Al2VCl8, optimized geometry; uncorrected formation energy = -1414 meV/atom; V = 31.4 A^3/atom; spin magnetization = 3.00 Bohr magnetons per cell; E = -46.9 eV/cell
1.0
6.1553 -4.7128 0.0000
6.1553 4.7128 0.0000
-0.5590 0.0000 5.9473
Al V Cl
2 1 8
direct
0.1847 0.1847 0.1425
0.8153 0.8153 0.8575
0.0000 0.0000 0.5000
0.0835 0.7296 0.7271
0.1689 0.1689 0.7741
0.2704 0.9165 0.2729
0.3520 0.3520 0.2498
0.6480 0.6480 0.7502
0.7296 0.0835 0.7271
0.8311 0.8311 0.2259
0.9165 0.2704 0.2729

=====

Record 2
GGA-PBE AlV3Cl, optimized geometry; uncorrected formation energy = 386 meV/atom; V = 15.3 A^3/atom; spin magnetization = 1.08 Bohr magnetons per cell; E = -31.0 eV/cell
1.0
4.2482 0.0000 0.0000
0.0000 4.2482 0.0000
0.0000 0.0000 4.2482
Al V Cl
1 3 1
direct
0.0000 0.0000 0.0000
0.0000 0.5000 0.5000
0.5000 0.0000 0.5000
0.5000 0.5000 0.0000
0.5000 0.5000 0.5000

=====

Record 3
GGA-PBE Al2VCl8, optimized geometry; uncorrected formation energy = -1420 meV/atom; V = 31.7 A^3/atom; spin magnetization = 6.00 Bohr magnetons per cell; E = -94.0 eV/cell
1.0
8.8934 -4.2476 0.0000
8.8934 4.2476 0.0000
-7.2288 0.0000 9.2176
Al V Cl
4 2 16
direct
0.1537 0.6832 0.9699
0.3168 0.8463 0.5301
0.6832 0.1537 0.4699
0.8463 0.3168 0.0301
0.0094 0.9906 0.2500
0.9906 0.0094 0.7500
0.1180 0.1730 0.0089
0.1297 0.7117 0.7861
0.1526 0.7217 0.3234
0.1730 0.1180 0.5089
0.2783 0.8474 0.1766
0.2883 0.8703 0.7139
0.2975 0.4018 0.9461
0.4018 0.2975 0.4461
0.5982 0.7025 0.5539
0.7025 0.5982 0.0539
0.7117 0.1297 0.2861
0.7217 0.1526 0.8234
0.8270 0.8820 0.4911
0.8474 0.2783 0.6766
0.8703 0.2883 0.2139
0.8820 0.8270 0.9911